No. 1
NbV | PBE-GGA | relaxed

## Properties
M_tot: 0.00 μB per formula unit
Distance to the lowest polymorph of the same formula: 0.166 eV/atom
Energy of formation: 0.4 eV/f.u.
Energy: -37.54 eV per cell

abc: 5.430 2.692 5.150
angles: 90.00 119.80 90.00
Space group C2/m (No. 12)
Symmetry-distinct sites (fractional):
1 Nb 0.000 0.000 0.000 (multiplicity 2)
2 V 0.000 0.000 0.500 (multiplicity 2)

***

No. 2
NbV3 | PBE-GGA | relaxed

## Properties
M_tot: 0.00 μB per formula unit
Energy of formation: 0.9 eV/f.u.
Energy: -36.52 eV per cell

abc: 2.518 4.570 5.258
angles: 90.00 90.00 90.00
Space group Pmm2 (No. 25)
Symmetry-distinct sites (fractional):
1 Nb 0.000 0.000 0.000 (multiplicity 1)
2 V 0.000 0.500 0.273 (multiplicity 1)
3 V 0.500 0.000 0.498 (multiplicity 1)
4 V 0.500 0.500 0.752 (multiplicity 1)

***

No. 3
NbV | PBE-GGA | relaxed

## Properties
M_tot: 0.77 μB per formula unit
Distance to the lowest polymorph of the same formula: 0.867 eV/atom
Energy of formation: 1.8 eV/f.u.
Energy: -69.46 eV per cell

abc: 5.203 5.203 5.203
angles: 90.00 90.00 90.00
Space group Fm-3m (No. 225)
Symmetry-distinct sites (fractional):
1 Nb 0.000 0.000 0.000 (multiplicity 4)
2 V 0.000 0.000 0.500 (multiplicity 4)

***

No. 4
NbV | PBE-GGA | relaxed

## Properties
M_tot: 1.80 μB per formula unit
Distance to the lowest polymorph of the same formula: 2.534 eV/atom
Energy of formation: 5.2 eV/f.u.
Energy: -84.19 eV per cell

abc: 7.030 7.030 7.030
angles: 90.00 90.00 90.00
Space group Pm-3n (No. 223)
Symmetry-distinct sites (fractional):
1 Nb 0.000 0.250 0.500 (multiplicity 6)
2 V 0.000 0.500 0.250 (multiplicity 6)

***

No. 5
NbV3 | PBE-GGA | relaxed

## Properties
M_tot: 0.00 μB per formula unit
Energy of formation: 0.2 eV/f.u.
Energy: -148.96 eV per cell

abc: 9.250 4.372 6.188
angles: 90.00 109.35 90.00
Space group C2/m (No. 12)
Symmetry-distinct sites (fractional):
1 Nb 0.131 0.000 0.193 (multiplicity 4)
2 V 0.116 0.500 0.438 (multiplicity 4)
3 V 0.123 0.000 0.684 (multiplicity 4)
4 V 0.123 0.500 0.931 (multiplicity 4)

***

No. 6
NbV3 | PBE-GGA | relaxed

## Properties
M_tot: 0.00 μB per formula unit
Energy of formation: 0.9 eV/f.u.
Energy: -145.95 eV per cell

abc: 5.585 10.397 4.188
angles: 90.00 90.00 90.00
Space group Cmcm (No. 63)
Symmetry-distinct sites (fractional):
1 Nb 0.000 0.203 0.250 (multiplicity 4)
2 V 0.000 0.377 0.750 (multiplicity 4)
3 V 0.223 0.072 0.750 (multiplicity 8)

***

No. 7
NbV | PBE-GGA | relaxed

## Properties
M_tot: 0.00 μB per formula unit
Distance to the lowest polymorph of the same formula: 0.442 eV/atom
Energy of formation: 1.0 eV/f.u.
Energy: -109.30 eV per cell

abc: 7.3134 7.3134 4.4391
angles: 90.00 90.00 120.00
Space group P6_3/m (No. 176)
Symmetry-distinct sites (fractional):
1 Nb 0.1441 0.8267 0.2500 (multiplicity 6)
2 V 0.1224 0.5923 0.7500 (multiplicity 6)

***

No. 8
Nb2V7 | PBE-GGA | relaxed

## Properties
M_tot: 0.00 μB per formula unit
Energy of formation: 1.3 eV/f.u.
Energy: -496.02 eV per cell

abc: 5.1456 5.1456 35.7802
angles: 90.00 90.00 120.00
Space group R-3m (No. 166, hexagonal axes)
Symmetry-distinct sites (fractional):
1 Nb 0.0000 0.0000 0.0620 (multiplicity 6)
2 Nb 0.0000 0.0000 0.1521 (multiplicity 6)
3 V 0.0000 0.0000 0.2786 (multiplicity 6)
4 V 0.0000 0.0000 0.3877 (multiplicity 6)
5 V 0.0000 0.0000 0.5000 (multiplicity 3)
6 V 0.0000 0.5000 0.0000 (multiplicity 9)
7 V 0.0017 0.5009 0.8895 (multiplicity 18)